(1)
10
Lattice="6.813 -0.014 -0.006 -3.397 5.030 -3.098 0.007 -0.490 6.905" Properties=species:S:1:pos:R:3 comment="Ni2Bi2Pb | Alexandria | GGA-PBE | relaxed" ef_ev_per_atom=0.0256 pbc="T T T"
Ni 1.687 4.005 0.922
Ni -1.671 4.258 -2.524
Ni 1.735 0.521 2.879
Ni 5.094 0.268 6.325
Bi 0.532 2.894 3.135
Bi 3.938 1.390 4.117
Bi -0.516 3.136 -0.316
Bi 2.890 1.632 0.666
Pb 0.702 -0.363 5.179
Pb 2.721 4.889 -1.378

(2)
19
Lattice="7.582 0.091 0.956 0.854 7.534 0.956 0.100 0.091 7.642" Properties=species:S:1:pos:R:3 comment="LiSm2Cd16 | Alexandria | GGA-PBE | relaxed" ef_ev_per_atom=-0.1581 pbc="T T T"
Cd 8.254 7.460 5.964
Cd 0.632 5.310 2.924
Cd 3.418 6.609 3.825
Cd 4.987 1.550 5.581
Cd 2.835 5.310 0.955
Cd 6.919 2.735 3.825
Cd 5.346 0.094 2.924
Cd 5.002 7.460 8.870
Cd 7.926 4.225 8.870
Cd 2.307 0.094 5.640
Cd 0.326 2.286 5.640
Cd 3.026 2.735 7.304
Cd 0.908 0.820 1.016
Cd 5.317 4.806 2.656
Cd 5.568 2.286 0.955
Cd 2.044 4.806 5.581
Sm 5.652 5.109 6.325
Sm 2.829 2.557 3.166
Li 7.803 7.053 8.732

(3)
10
Lattice="4.367 0.000 0.000 0.000 4.367 0.000 0.000 0.000 9.770" Properties=species:S:1:pos:R:3 comment="Ce2As4PtRh3 | Alexandria | GGA-PBE | relaxed" ef_ev_per_atom=-0.9045 pbc="T T T"
As 2.183 0.000 6.220
As 0.000 2.183 3.550
As 2.183 2.183 0.000
As 0.000 0.000 0.000
Rh 0.000 0.000 4.885
Rh 0.000 2.183 1.139
Rh 2.183 0.000 8.631
Pt 2.183 2.183 4.885
Ce 0.000 2.183 7.370
Ce 2.183 0.000 2.400

(4)
6
Lattice="0.000 4.305 4.305 4.305 0.000 4.305 4.305 4.305 0.000" Properties=species:S:1:pos:R:3 comment="MgSb4Rh | Alexandria | GGA-PBE | relaxed" raw_formation_energy_ev_per_atom=0.5701 pbc="T T T"
Rh 0.000 0.000 0.000
Sb 5.381 3.229 5.381
Sb 5.381 5.381 3.229
Sb 3.229 3.229 3.229
Sb 3.229 5.381 5.381
Mg 6.457 6.457 6.457

| no. | calculated volume (Å³/atom) | total moment (μB/cell) |
| --- | --- | --- |
| 1 | 22.6 | 0.00 |
| 2 | 22.9 | 0.00 |
| 3 | 18.6 | 0.80 |
| 4 | 26.6 | 0.41 |